# Mg2AlTeAs

A relaxed structure of Mg2AlTeAs (GGA-PBE, Alexandria).

## Properties
The calculation puts the size of the total moment at 0.000 μB per atom. As for the electronic total energy: -2.42 eV/atom. The energy relative to the elements, uncorrected comes out at 2.60 eV per formula unit.

Lattice parameters (Å, degrees): 5.3224 5.3611 5.3224 90.00 90.00 90.00
With the nearest neighbours (Å) after each atom.
Fractional coordinates of all 5 atoms:
Mg  0.0000  0.0000  0.5000  2 Te 2.66
Mg  0.5000  0.0000  0.0000  2 Te 2.66
As  0.5000  0.5000  0.5000  4 Al 3.76, 8 Mg 3.78
Te  0.0000  0.0000  0.0000  4 Mg 2.66, 2 Al 2.68
Al  0.0000  0.5000  0.0000  2 Te 2.68

---

# La4SnSb2Se

A relaxed structure of La4SnSb2Se (GGA-PBE, Alexandria).

## Properties
The calculation puts the size of the total moment at 0.000 μB per atom. As for the electronic total energy: -5.75 eV/atom. The energy relative to the elements, uncorrected comes out at -10.55 eV per formula unit.

Lattice parameters (Å, degrees): 4.5560 7.9136 7.9023 70.61 90.00 90.00
With the nearest neighbours (Å) after each atom.
Fractional coordinates of all 8 atoms:
La  0.0000  0.7470  0.7473  1 Se 3.19, 2 Sn 3.23, 3 Sb 3.23-3.26
La  0.0000  0.2530  0.2527  1 Se 3.19, 2 Sn 3.23, 3 Sb 3.23-3.26
La  0.5000  0.7453  0.2528  2 Se 3.20, 1 Sn 3.22, 3 Sb 3.24-3.25
La  0.5000  0.2547  0.7472  2 Se 3.20, 1 Sn 3.22, 3 Sb 3.24-3.25
Sn  0.5000  0.5000  0.0000  6 La 3.22-3.23
Sb  0.0000  0.0000  0.0000  6 La 3.25-3.26
Sb  0.5000  0.0000  0.5000  6 La 3.23-3.24
Se  0.0000  0.5000  0.5000  6 La 3.19-3.20

---

energy relative to the elements, uncorrected of number 1 (Mg2AlTeAs)? 2.60 eV per formula unit